(1)
Here is a relaxed KBaHg6 crystal from Alexandria. Energies are from PBE-GGA.

Calculated values
Polymorph energy (0 for the lowest one): 0 meV per atom
Crystal system: orthorhombic
Formation energy: -0.3267 eV/atom

Cell lengths 5.434, 7.262, 7.262 Å; angles 60.06, 90.00, 90.00 degrees
Fractional positions:
K1 0.000 0.000 0.000
Ba1 0.500 0.668 0.668
Hg1 0.000 0.033 0.484
Hg2 0.000 0.484 0.033
Hg3 0.000 0.485 0.485
Hg4 0.500 0.180 0.180
Hg5 0.500 0.182 0.639
Hg6 0.500 0.639 0.182

(2)
Here is a relaxed K2BaHg crystal from Alexandria. Energies are from PBE-GGA.

Calculated values
Crystal system: monoclinic
Formation energy: -0.1257 eV/atom

Cell lengths 6.651, 6.651, 8.282 Å; angles 112.68, 112.68, 39.84 degrees
Fractional positions:
K1 0.000 0.000 0.000
K2 0.192 0.192 0.714
Ba1 0.370 0.370 0.364
Hg1 0.657 0.657 0.360

(3)
Here is a relaxed K2BaHg crystal from Alexandria. Energies are from PBE-GGA.

Calculated values
Crystal system: monoclinic
Formation energy: -0.0159 eV/atom

Cell lengths 8.214, 8.214, 4.481 Å; angles 104.67, 104.67, 126.51 degrees
Fractional positions:
K1 0.000 0.500 0.000
K2 0.500 0.000 0.000
Ba1 0.000 0.000 0.500
Hg1 0.500 0.500 0.500

(4)
Here is a relaxed K2BaHg crystal from Alexandria. Energies are from PBE-GGA.

Calculated values
Crystal system: monoclinic
Formation energy: -0.0348 eV/atom

Cell lengths 4.578, 6.860, 6.383 Å; angles 90.00, 97.45, 90.00 degrees
Fractional positions:
K1 0.194 0.000 0.277
K2 0.806 0.000 0.723
Ba1 0.500 0.500 0.000
Hg1 0.000 0.500 0.500

(5)
Here is a relaxed KBa2Hg16 crystal from Alexandria. Energies are from PBE-GGA.

Calculated values
Crystal system: trigonal
Formation energy: -0.2272 eV/atom

Cell lengths 8.602, 8.602, 8.602 Å; angles 72.77, 72.77, 72.77 degrees
Fractional positions:
K1 0.000 0.000 0.000
Ba1 0.227 0.227 0.227
Ba2 0.598 0.598 0.598
Hg1 0.099 0.502 0.502
Hg2 0.204 0.604 0.901
Hg3 0.204 0.901 0.604
Hg4 0.280 0.280 0.773
Hg5 0.280 0.773 0.280
Hg6 0.436 0.884 0.884
Hg7 0.502 0.099 0.502
Hg8 0.502 0.502 0.099
Hg9 0.604 0.204 0.901
Hg10 0.604 0.901 0.204
Hg11 0.773 0.280 0.280
Hg12 0.817 0.817 0.817
Hg13 0.884 0.436 0.884
Hg14 0.884 0.884 0.436
Hg15 0.901 0.204 0.604
Hg16 0.901 0.604 0.204

(6)
Here is a relaxed KBaHg4 crystal from Alexandria. Energies are from PBE-GGA.

Calculated values
Polymorph energy (0 for the lowest one): 0 meV per atom
Crystal system: orthorhombic
Formation energy: -0.3668 eV/atom

Cell lengths 4.123, 5.299, 9.138 Å; angles 90.00, 90.00, 90.00 degrees
Fractional positions:
K1 0.000 0.000 0.000
Ba1 0.000 0.500 0.500
Hg1 0.500 0.000 0.331
Hg2 0.500 0.000 0.669
Hg3 0.500 0.500 0.164
Hg4 0.500 0.500 0.836

(7)
Here is a relaxed KBa2Hg3 crystal from Alexandria. Energies are from PBE-GGA.

Calculated values
Crystal system: tetragonal
Formation energy: -0.4061 eV/atom

Cell lengths 4.179, 4.179, 12.833 Å; angles 90.00, 90.00, 90.00 degrees
Fractional positions:
K1 0.000 0.000 0.000
Ba1 0.000 0.000 0.335
Ba2 0.000 0.000 0.665
Hg1 0.500 0.500 0.179
Hg2 0.500 0.500 0.500
Hg3 0.500 0.500 0.821

(8)
Here is a relaxed K12Ba3Hg5 crystal from Alexandria. Energies are from PBE-GGA.

Calculated values
Crystal system: cubic
Formation energy: 0.1212 eV/atom

Cell lengths 19.266, 19.266, 19.266 Å; angles 109.47, 109.47, 109.47 degrees
Fractional positions:
K1 0.010 0.190 0.088
K2 0.010 0.320 0.922
K3 0.078 0.588 0.398
K4 0.078 0.990 0.680
K5 0.088 0.010 0.190
K6 0.088 0.578 0.898
K7 0.102 0.690 0.680
K8 0.102 0.912 0.422
K9 0.180 0.190 0.602
K10 0.180 0.490 0.578
K11 0.190 0.088 0.010
K12 0.190 0.602 0.180
K13 0.310 0.320 0.898
K14 0.310 0.490 0.412
K15 0.320 0.898 0.310
K16 0.320 0.922 0.010
K17 0.398 0.078 0.588
K18 0.398 0.820 0.810
K19 0.412 0.310 0.490
K20 0.412 0.602 0.922
K21 0.422 0.102 0.912
K22 0.422 0.820 0.510
K23 0.490 0.412 0.310
K24 0.490 0.578 0.180
K25 0.510 0.422 0.820
K26 0.510 0.588 0.690
K27 0.578 0.180 0.490
K28 0.578 0.898 0.088
K29 0.588 0.398 0.078
K30 0.588 0.690 0.510
K31 0.602 0.180 0.190
K32 0.602 0.922 0.412
K33 0.680 0.078 0.990
K34 0.680 0.102 0.690
K35 0.690 0.510 0.588
K36 0.690 0.680 0.102
K37 0.810 0.398 0.820
K38 0.810 0.912 0.990
K39 0.820 0.510 0.422
K40 0.820 0.810 0.398
K41 0.898 0.088 0.578
K42 0.898 0.310 0.320
K43 0.912 0.422 0.102
K44 0.912 0.990 0.810
K45 0.922 0.010 0.320
K46 0.922 0.412 0.602
K47 0.990 0.680 0.078
K48 0.990 0.810 0.912
Ba1 0.125 0.250 0.375
Ba2 0.125 0.375 0.750
Ba3 0.250 0.375 0.125
Ba4 0.250 0.875 0.625
Ba5 0.375 0.125 0.250
Ba6 0.375 0.750 0.125
Ba7 0.625 0.250 0.875
Ba8 0.625 0.875 0.750
Ba9 0.750 0.125 0.375
Ba10 0.750 0.625 0.875
Ba11 0.875 0.625 0.250
Ba12 0.875 0.750 0.625
Hg1 0.000 0.000 0.000
Hg2 0.000 0.000 0.500
Hg3 0.000 0.500 0.000
Hg4 0.000 0.500 0.500
Hg5 0.125 0.750 0.875
Hg6 0.125 0.875 0.250
Hg7 0.250 0.125 0.875
Hg8 0.250 0.625 0.375
Hg9 0.375 0.250 0.625
Hg10 0.375 0.625 0.750
Hg11 0.500 0.000 0.000
Hg12 0.500 0.000 0.500
Hg13 0.500 0.500 0.000
Hg14 0.500 0.500 0.500
Hg15 0.625 0.375 0.250
Hg16 0.625 0.750 0.375
Hg17 0.750 0.375 0.625
Hg18 0.750 0.875 0.125
Hg19 0.875 0.125 0.750
Hg20 0.875 0.250 0.125

(9)
Here is a relaxed K2BaHg crystal from Alexandria. Energies are from PBE-GGA.

Calculated values
Crystal system: trigonal
Formation energy: -0.0238 eV/atom

Cell lengths 12.830, 12.830, 12.830 Å; angles 20.25, 20.25, 20.25 degrees
Fractional positions:
K1 0.000 0.000 0.000
K2 0.204 0.204 0.204
Ba1 0.436 0.436 0.436
Hg1 0.602 0.602 0.602

(10)
Here is a relaxed K2BaHg crystal from Alexandria. Energies are from PBE-GGA.

Calculated values
Crystal system: trigonal
Formation energy: -0.0226 eV/atom

Cell lengths 12.812, 12.812, 12.812 Å; angles 20.32, 20.32, 20.32 degrees
Fractional positions:
K1 0.232 0.232 0.232
K2 0.768 0.768 0.768
Ba1 0.000 0.000 0.000
Hg1 0.500 0.500 0.500

(11)
Here is a relaxed KBaHg2 crystal from Alexandria. Energies are from PBE-GGA.

Calculated values
Crystal system: cubic
Formation energy: -0.2022 eV/atom

Cell lengths 5.704, 5.704, 5.704 Å; angles 60.00, 60.00, 60.00 degrees
Fractional positions:
K1 0.000 0.000 0.000
Ba1 0.250 0.250 0.250
Hg1 0.500 0.500 0.500
Hg2 0.750 0.750 0.750

(12)
Here is a relaxed KBaHg2 crystal from Alexandria. Energies are from PBE-GGA.

Calculated values
Crystal system: monoclinic
Formation energy: -0.2943 eV/atom

Cell lengths 6.658, 6.658, 5.795 Å; angles 108.15, 108.15, 37.04 degrees
Fractional positions:
K1 0.000 0.000 0.000
Ba1 0.205 0.205 0.650
Hg1 0.454 0.454 0.459
Hg2 0.764 0.764 0.203

(13)
Here is a relaxed K2BaHg9 crystal from Alexandria. Energies are from PBE-GGA.

Calculated values
Crystal system: trigonal
Formation energy: -0.2420 eV/atom

Cell lengths 11.325, 11.325, 11.325 Å; angles 32.03, 32.03, 32.03 degrees
Fractional positions:
K1 0.144 0.144 0.144
K2 0.856 0.856 0.856
Ba1 0.000 0.000 0.000
Hg1 0.079 0.588 0.588
Hg2 0.336 0.336 0.336
Hg3 0.412 0.412 0.921
Hg4 0.412 0.921 0.412
Hg5 0.500 0.500 0.500
Hg6 0.588 0.079 0.588
Hg7 0.588 0.588 0.079
Hg8 0.664 0.664 0.664
Hg9 0.921 0.412 0.412

(14)
Here is a relaxed KBa3Hg crystal from Alexandria. Energies are from PBE-GGA.

Calculated values
Polymorph energy (0 for the lowest one): 0 meV per atom
Crystal system: cubic
Formation energy: -0.1424 eV/atom

Cell lengths 6.786, 6.786, 6.786 Å; angles 90.00, 90.00, 90.00 degrees
Fractional positions:
K1 0.000 0.000 0.000
Ba1 0.000 0.500 0.500
Ba2 0.500 0.000 0.500
Ba3 0.500 0.500 0.000
Hg1 0.500 0.500 0.500

(15)
Here is a relaxed KBaHg3 crystal from Alexandria. Energies are from PBE-GGA.

Calculated values
Polymorph energy (0 for the lowest one): 362 meV per atom
Crystal system: cubic
Formation energy: -0.0203 eV/atom

Cell lengths 6.465, 6.465, 6.465 Å; angles 90.00, 90.00, 90.00 degrees
Fractional positions:
K1 0.000 0.000 0.000
Ba1 0.500 0.500 0.500
Hg1 0.000 0.500 0.500
Hg2 0.500 0.000 0.500
Hg3 0.500 0.500 0.000

(16)
Here is a relaxed KBaHg2 crystal from Alexandria. Energies are from PBE-GGA.

Calculated values
Crystal system: tetragonal
Formation energy: -0.3459 eV/atom

Cell lengths 4.187, 4.187, 8.548 Å; angles 90.00, 90.00, 90.00 degrees
Fractional positions:
K1 0.000 0.000 0.000
Ba1 0.000 0.000 0.500
Hg1 0.500 0.500 0.268
Hg2 0.500 0.500 0.732

(17)
Here is a relaxed K5Ba3Hg12 crystal from Alexandria. Energies are from PBE-GGA.

Calculated values
Crystal system: cubic
Formation energy: -0.1954 eV/atom

Cell lengths 17.336, 17.336, 17.336 Å; angles 109.47, 109.47, 109.47 degrees
Fractional positions:
K1 0.000 0.000 0.000
K2 0.000 0.000 0.500
K3 0.000 0.500 0.000
K4 0.000 0.500 0.500
K5 0.125 0.750 0.875
K6 0.125 0.875 0.250
K7 0.250 0.125 0.875
K8 0.250 0.625 0.375
K9 0.375 0.250 0.625
K10 0.375 0.625 0.750
K11 0.500 0.000 0.000
K12 0.500 0.000 0.500
K13 0.500 0.500 0.000
K14 0.500 0.500 0.500
K15 0.625 0.375 0.250
K16 0.625 0.750 0.375
K17 0.750 0.375 0.625
K18 0.750 0.875 0.125
K19 0.875 0.125 0.750
K20 0.875 0.250 0.125
Ba1 0.125 0.250 0.375
Ba2 0.125 0.375 0.750
Ba3 0.250 0.375 0.125
Ba4 0.250 0.875 0.625
Ba5 0.375 0.125 0.250
Ba6 0.375 0.750 0.125
Ba7 0.625 0.250 0.875
Ba8 0.625 0.875 0.750
Ba9 0.750 0.125 0.375
Ba10 0.750 0.625 0.875
Ba11 0.875 0.625 0.250
Ba12 0.875 0.750 0.625
Hg1 0.069 0.730 0.640
Hg2 0.069 0.839 0.430
Hg3 0.070 0.661 0.431
Hg4 0.070 0.909 0.640
Hg5 0.091 0.230 0.161
Hg6 0.091 0.360 0.930
Hg7 0.140 0.230 0.569
Hg8 0.140 0.409 0.570
Hg9 0.161 0.091 0.230
Hg10 0.161 0.570 0.931
Hg11 0.230 0.161 0.091
Hg12 0.230 0.569 0.140
Hg13 0.270 0.360 0.931
Hg14 0.270 0.409 0.339
Hg15 0.339 0.270 0.409
Hg16 0.339 0.569 0.930
Hg17 0.360 0.930 0.091
Hg18 0.360 0.931 0.270
Hg19 0.409 0.339 0.270
Hg20 0.409 0.570 0.140
Hg21 0.430 0.069 0.839
Hg22 0.430 0.860 0.591
Hg23 0.431 0.070 0.661
Hg24 0.431 0.860 0.770
Hg25 0.569 0.140 0.230
Hg26 0.569 0.930 0.339
Hg27 0.570 0.140 0.409
Hg28 0.570 0.931 0.161
Hg29 0.591 0.430 0.860
Hg30 0.591 0.661 0.730
Hg31 0.640 0.069 0.730
Hg32 0.640 0.070 0.909
Hg33 0.661 0.431 0.070
Hg34 0.661 0.730 0.591
Hg35 0.730 0.591 0.661
Hg36 0.730 0.640 0.069
Hg37 0.770 0.431 0.860
Hg38 0.770 0.839 0.909
Hg39 0.839 0.430 0.069
Hg40 0.839 0.909 0.770
Hg41 0.860 0.591 0.430
Hg42 0.860 0.770 0.431
Hg43 0.909 0.640 0.070
Hg44 0.909 0.770 0.839
Hg45 0.930 0.091 0.360
Hg46 0.930 0.339 0.569
Hg47 0.931 0.161 0.570
Hg48 0.931 0.270 0.360

(18)
Here is a relaxed K2Ba3Hg9 crystal from Alexandria. Energies are from PBE-GGA.

Calculated values
Crystal system: orthorhombic
Formation energy: -0.3470 eV/atom

Cell lengths 10.097, 10.097, 10.097 Å; angles 148.59, 118.48, 70.72 degrees
Fractional positions:
K1 0.192 0.000 0.192
K2 0.808 0.000 0.808
Ba1 0.222 0.222 0.000
Ba2 0.500 0.500 0.000
Ba3 0.778 0.778 0.000
Hg1 0.000 0.500 0.500
Hg2 0.074 0.359 0.716
Hg3 0.182 0.828 0.354
Hg4 0.357 0.641 0.716
Hg5 0.473 0.828 0.646
Hg6 0.527 0.172 0.354
Hg7 0.643 0.359 0.284
Hg8 0.818 0.172 0.646
Hg9 0.926 0.641 0.284

(19)
Here is a relaxed KBaHg2 crystal from Alexandria. Energies are from PBE-GGA.

Calculated values
Crystal system: monoclinic
Formation energy: -0.2666 eV/atom

Cell lengths 4.837, 4.837, 9.070 Å; angles 105.20, 105.20, 59.43 degrees
Fractional positions:
K1 0.000 0.000 0.000
Ba1 0.500 0.500 0.500
Hg1 0.248 0.248 0.743
Hg2 0.752 0.752 0.257